Record 1
# PBE Li2ScZn, relaxed
data_Li2ScZn
_chemical_formula_sum 'Li2 Sc1 Zn1'
_symmetry_space_group_name_H-M 'P 4 m m'
_symmetry_Int_Tables_number 99
_cell_length_a 3.2457
_cell_length_b 3.2457
_cell_length_c 7.1119
_cell_angle_alpha 90.00
_cell_angle_beta 90.00
_cell_angle_gamma 90.00
loop_
_symmetry_equiv_pos_as_xyz
'x,y,z'
'-y,x,z'
'-x,-y,z'
'y,-x,z'
'-x,y,z'
'y,x,z'
'x,-y,z'
'-y,-x,z'
loop_
_atom_site_label
_atom_site_type_symbol
_atom_site_fract_x
_atom_site_fract_y
_atom_site_fract_z
Li1 Li 0.0000 0.0000 0.0000
Li2 Li 0.5000 0.5000 0.2393
Sc1 Sc 0.0000 0.0000 0.5515
Zn1 Zn 0.5000 0.5000 0.7904
# - size of the total moment (μB per cell) = 0.26
# - volume (Å³/f.u.) = 75
# - calculated formation energy (meV per atom) = -80


Record 2
# PBE Lu2VHg, relaxed
data_Lu2VHg
_chemical_formula_sum 'Lu2 V1 Hg1'
_symmetry_space_group_name_H-M 'P 4/m m m'
_symmetry_Int_Tables_number 123
_symmetry_space_group_name_Hall '-P 4 2'
_cell_length_a 3.5650
_cell_length_b 3.5650
_cell_length_c 7.2364
_cell_angle_alpha 90.00
_cell_angle_beta 90.00
_cell_angle_gamma 90.00
loop_
_atom_site_label
_atom_site_type_symbol
_atom_site_fract_x
_atom_site_fract_y
_atom_site_fract_z
Lu1 Lu 0.0000 0.0000 0.2323
V1 V 0.5000 0.5000 0.0000
Hg1 Hg 0.5000 0.5000 0.5000
# - size of the total moment (μB per cell) = 3.15
# - volume (Å³/f.u.) = 92
# - calculated formation energy (meV per atom) = -86
# - energy above the most stable polymorph in this dataset (kJ/mol of atoms) = 0.0


Record 3
# PBE Cs2MgRuO6, relaxed
data_Cs2MgRuO6
_chemical_formula_sum 'Cs2 Mg1 Ru1 O6'
_symmetry_space_group_name_H-M 'P -3 m 1'
_symmetry_Int_Tables_number 164
_symmetry_space_group_name_Hall '-P 3 2"'
_cell_length_a 6.4768
_cell_length_b 6.4768
_cell_length_c 5.2306
_cell_angle_alpha 90.00
_cell_angle_beta 90.00
_cell_angle_gamma 120.00
loop_
_atom_site_label
_atom_site_type_symbol
_atom_site_fract_x
_atom_site_fract_y
_atom_site_fract_z
Cs1 Cs 0.3333 0.6667 0.2291
Mg1 Mg 0.0000 0.0000 0.5000
Ru1 Ru 0.0000 0.0000 0.0000
O1 O 0.1346 0.2692 0.7810
# - size of the total moment (μB per cell) = 0.00
# - volume (Å³/f.u.) = 190
# - raw formation energy (eV/atom) = -1.249


Record 4
# PBE Tl2In4Hg2Bi, relaxed
data_Tl2In4Hg2Bi
_chemical_formula_sum 'Tl2 In4 Hg2 Bi1'
_symmetry_space_group_name_H-M 'P 3 m 1'
_symmetry_Int_Tables_number 156
_cell_length_a 3.4512
_cell_length_b 3.4512
_cell_length_c 24.9436
_cell_angle_alpha 90.00
_cell_angle_beta 90.00
_cell_angle_gamma 120.00
loop_
_symmetry_equiv_pos_as_xyz
'x,y,z'
'-y,x-y,z'
'-x+y,-x,z'
'-y,-x,z'
'-x+y,y,z'
'x,x-y,z'
loop_
_atom_site_label
_atom_site_type_symbol
_atom_site_fract_x
_atom_site_fract_y
_atom_site_fract_z
Tl1 Tl 0.0000 0.0000 0.0000
Tl2 Tl 0.0000 0.0000 0.2364
In1 In 0.0000 0.0000 0.6669
In2 In 0.0000 0.0000 0.8720
In3 In 0.3333 0.6667 0.3524
In4 In 0.3333 0.6667 0.5576
Hg1 Hg 0.0000 0.0000 0.4540
Hg2 Hg 0.3333 0.6667 0.7705
Bi1 Bi 0.3333 0.6667 0.1170
# - size of the total moment (μB per cell) = 0.00
# - volume (Å³/f.u.) = 257
# - calculated formation energy (meV per atom) = 14


Record 5
# PBE AlRuW2, relaxed
data_AlRuW2
_chemical_formula_sum 'Al3 Ru3 W6'
_symmetry_space_group_name_H-M 'R -3 m'
_symmetry_Int_Tables_number 166
_symmetry_space_group_name_Hall '-R 3 2"'
_cell_length_a 2.8101
_cell_length_b 2.8101
_cell_length_c 27.0836
_cell_angle_alpha 90.00
_cell_angle_beta 90.00
_cell_angle_gamma 120.00
loop_
_atom_site_label
_atom_site_type_symbol
_atom_site_fract_x
_atom_site_fract_y
_atom_site_fract_z
Al1 Al 0.0000 0.0000 0.0000
Ru1 Ru 0.0000 0.0000 0.5000
W1 W 0.0000 0.0000 0.2484
# - size of the total moment (μB per cell) = 0.01
# - volume (Å³/f.u.) = 62
# - calculated formation energy (meV per atom) = 96


Record 6
# PBE Ce2Ni9Rh, relaxed
data_Ce2Ni9Rh
_chemical_formula_sum 'Ce6 Ni27 Rh3'
_symmetry_space_group_name_H-M 'R -3 m'
_symmetry_Int_Tables_number 166
_symmetry_space_group_name_Hall '-R 3 2"'
_cell_length_a 4.9168
_cell_length_b 4.9168
_cell_length_c 23.8846
_cell_angle_alpha 90.00
_cell_angle_beta 90.00
_cell_angle_gamma 120.00
loop_
_atom_site_label
_atom_site_type_symbol
_atom_site_fract_x
_atom_site_fract_y
_atom_site_fract_z
Ce1 Ce 0.0000 0.0000 0.1267
Ni1 Ni 0.0000 0.0000 0.3330
Ni2 Ni 0.0000 0.0000 0.5000
Ni3 Ni 0.0019 0.5009 0.9181
Rh1 Rh 0.0000 0.0000 0.0000
# - size of the total moment (μB per cell) = 6.35
# - volume (Å³/f.u.) = 167
# - calculated formation energy (meV per atom) = -173


Record 7
# PBE CaTb2Y2, relaxed
data_CaTb2Y2
_chemical_formula_sum 'Ca2 Tb4 Y4'
_symmetry_space_group_name_H-M 'I 4/m m m'
_symmetry_Int_Tables_number 139
_symmetry_space_group_name_Hall '-I 4 2'
_cell_length_a 4.2320
_cell_length_b 4.2320
_cell_length_c 25.7154
_cell_angle_alpha 90.00
_cell_angle_beta 90.00
_cell_angle_gamma 90.00
loop_
_atom_site_label
_atom_site_type_symbol
_atom_site_fract_x
_atom_site_fract_y
_atom_site_fract_z
Ca1 Ca 0.0000 0.0000 0.0000
Tb1 Tb 0.0000 0.5000 0.2500
Y1 Y 0.0000 0.0000 0.1420
# - size of the total moment (μB per cell) = 0.82
# - volume (Å³/f.u.) = 230
# - calculated formation energy (meV per atom) = 836


Record 8
# PBE PmTl2Au9, relaxed
data_PmTl2Au9
_chemical_formula_sum 'Pm3 Tl6 Au27'
_symmetry_space_group_name_H-M 'R -3 m'
_symmetry_Int_Tables_number 166
_symmetry_space_group_name_Hall '-R 3 2"'
_cell_length_a 5.6258
_cell_length_b 5.6258
_cell_length_c 28.3861
_cell_angle_alpha 90.00
_cell_angle_beta 90.00
_cell_angle_gamma 120.00
loop_
_atom_site_label
_atom_site_type_symbol
_atom_site_fract_x
_atom_site_fract_y
_atom_site_fract_z
Pm1 Pm 0.0000 0.0000 0.0000
Tl1 Tl 0.0000 0.0000 0.1449
Au1 Au 0.0000 0.0000 0.3325
Au2 Au 0.0000 0.0000 0.5000
Au3 Au 0.0007 0.5003 0.9175
# - size of the total moment (μB per cell) = 0.00
# - volume (Å³/f.u.) = 259
# - calculated formation energy (meV per atom) = -186